# LiThAs2Rh5

A relaxed LiThAs2Rh5 crystal (PBE, the Alexandria database).

Computed properties:
The formation energy from the elements is -660 meV/atom. The calculation puts the total magnetization at 0.0 μB per formula unit. The space-group type is No. 123.

POSCAR file:
```
LiThAs2Rh5
1.0
-3.162 -0.880 -2.562
-0.943 -3.334 2.309
-5.555 5.106 5.103
Th Rh As Li
1 5 2 1
direct
0.000 0.000 0.500
0.000 0.500 0.266
0.500 0.500 0.500
0.000 0.500 0.734
0.500 0.000 0.266
0.500 0.000 0.734
0.500 0.500 0.862
0.500 0.500 0.138
0.000 0.000 0.000
```